Here is HfMn2F after structural relaxation from Alexandria via LeMat-Bulk. Energies are from PBE with a Hubbard U.

Calculated values
total moment	14.73	Bohr magnetons per cell
VASP energy	-0.5045	Ry per atom

a = 7.3953 Å, b = 7.3953 Å, c = 5.8100 Å
α = 50.47°, β = 50.47°, γ = 90.00°
Closest atoms and distances in Å follow each position.
Sites, in units of the cell vectors:
Mn1 0.8750 0.8055 0.7500  2 F 2.37
Mn2 0.5555 0.1250 0.2500  2 F 2.37
Mn3 0.3750 0.4445 0.7500  2 F 2.37
Mn4 0.1945 0.6250 0.2500  2 F 2.37
Hf1 0.0000 0.0000 0.0000  2 F 2.53
Hf2 0.7500 0.2500 0.5000  2 F 2.53
F1 0.2500 0.7500 0.5000  4 Mn 2.37, 2 Hf 2.53
F2 0.5000 0.5000 0.0000  4 Mn 2.37, 2 Hf 2.53